First-principles (PBE) data for KMg2Cu2 after structural relaxation, as listed in Alexandria via LeMat-Bulk.

```
data_KMg2Cu2
_cell_length_a 4.539
_cell_length_b 4.539
_cell_length_c 6.483
_cell_angle_alpha 69.51
_cell_angle_beta 69.51
_cell_angle_gamma 90.00
_symmetry_space_group_name_H-M 'P 1'
_symmetry_Int_Tables_number 1
loop_
_symmetry_equiv_pos_as_xyz
'x,y,z'
loop_
_atom_site_label
_atom_site_fract_x
_atom_site_fract_y
_atom_site_fract_z
K1 0.000 0.000 0.000
Mg1 0.750 0.250 0.500
Mg2 0.250 0.750 0.500
Cu1 0.389 0.389 0.221
Cu2 0.611 0.611 0.779
```

For the excess energy over the best structure of this formula in the dataset, the calculation gives 17 meV per atom. The calculation puts the density of states at the Fermi level at 2.5 states/eV/f.u. As for the space group: No. 139. Its calculated density is 3.1 g/cm³.